Here is SrSb2W2 at its PBEsol-relaxed geometry from Alexandria via LeMat-Bulk. Energies are from SCAN.

extended XYZ file:
```
5
Lattice="3.873 0.000 0.000 0.000 3.873 0.000 -1.937 -1.937 7.943" Properties=species:S:1:pos:R:3 pbc="T T T"
Sb 0.000 0.000 5.973
W 1.937 0.000 3.972
Sr 0.000 0.000 0.000
W 0.000 1.937 3.972
Sb 1.937 1.937 1.971
```

Size of the total moment ... 0.0 μB per formula unit
Space group ... I4/mmm, No. 139
Density ... 9.74 Mg/m³
Formation energy from raw total energies ... 13 meV per atom